# Hf2AgPd (PBE-GGA, optimized geometry)
data_Hf2AgPd
_chemical_formula_sum 'Hf8 Ag4 Pd4'
_space_group_name_H-M_alt 'F -4 3 m'
_space_group_IT_number 216
_space_group_name_Hall 'F -4 2 3'
_cell_length_a 6.6401
_cell_length_b 6.6401
_cell_length_c 6.6401
_cell_angle_alpha 90.00
_cell_angle_beta 90.00
_cell_angle_gamma 90.00
loop_
_atom_site_label
_atom_site_fract_x
_atom_site_fract_y
_atom_site_fract_z
Hf1 0.0000 0.0000 0.0000
Hf2 0.2500 0.2500 0.2500
Ag1 0.2500 0.2500 0.7500
Pd1 0.0000 0.0000 0.5000
# - V (A^3/atom) = 18.30
# - E_form (kJ per mole of atoms) = -4.0